Record 1
Entry from Alexandria via LeMat-Bulk: CaIrW2 after structural relaxation (PBE).

The structure in extended XYZ format:
```
4
Lattice="2.876 0.000 0.000 0.000 2.876 0.000 0.000 0.000 8.770" Properties=species:S:1:pos:R:3 pbc="T T T"
Ca 0.000 0.000 0.000
Ir 1.438 1.438 2.287
W 0.000 0.000 3.993
W 1.438 1.438 6.083
```

Distance to the lowest polymorph of the same formula, meV per atom: 4.7
E_form, eV/atom: 0.298
Spin magnetization, μB/f.u.: 0.00
Total energy, eV/atom: -8.894
Fermi-level density of states, states/eV/f.u.: 4.049
Crystal system: tetragonal

---

Record 2
Entry from Alexandria via LeMat-Bulk: PdRu3C after structural relaxation (PBE).

The structure in extended XYZ format:
```
5
Lattice="4.760 0.000 0.000 0.000 4.760 0.000 0.000 0.000 4.760" Properties=species:S:1:pos:R:3 pbc="T T T"
Pd 0.000 0.000 0.000
Ru 0.000 0.000 2.380
Ru 0.000 2.380 0.000
Ru 2.380 0.000 0.000
C 2.380 2.380 2.380
```

Distance to the lowest polymorph of the same formula, meV per atom: 2980.6
E_form, eV/atom: 3.312
Spin magnetization, μB/f.u.: 5.48
Total energy, eV/atom: -5.137
Fermi-level density of states, states/eV/f.u.: 7.914
Crystal system: cubic

---

Record 3
Entry from Alexandria via LeMat-Bulk: Sr4Cd5Hg2 after structural relaxation (PBE).

The structure in extended XYZ format:
```
11
Lattice="8.054 0.000 0.000 0.000 4.182 0.000 -0.528 0.000 10.301" Properties=species:S:1:pos:R:3 pbc="T T T"
Sr 1.266 0.000 3.896
Sr 1.589 0.000 9.668
Sr 5.937 0.000 0.634
Sr 6.260 0.000 6.405
Cd 1.280 2.091 6.764
Cd 3.483 2.091 2.063
Cd 3.763 2.091 5.151
Cd 4.043 2.091 8.238
Cd 6.246 2.091 3.537
Hg 0.462 2.091 1.456
Hg 7.064 2.091 8.845
```

E_form, eV/atom: -0.325
Spin magnetization, μB/f.u.: 0.00
Total energy, eV/atom: -1.407
Fermi-level density of states, states/eV/f.u.: 7.413
Crystal system: monoclinic